# 1
## Pr2AlPd6Pt (PBE-GGA)

Data for a relaxed Pr2AlPd6Pt crystal.

a b c (Å): 6.4735 6.4735 11.8668
angles (deg): 74.17 74.17 60.00
Sites, in units of the cell vectors:
Pr  0.8842  0.8842  0.3475
Pr  0.1158  0.1158  0.6525
Pr  0.7174  0.7174  0.8479
Pr  0.2826  0.2826  0.1521
Al  0.0000  0.0000  0.0000
Al  0.5000  0.5000  0.5000
Pd  0.9274  0.3331  0.4064
Pd  0.3331  0.9274  0.4064
Pd  0.3331  0.3331  0.4064
Pd  0.0726  0.6669  0.5936
Pd  0.6669  0.0726  0.5936
Pd  0.6669  0.6669  0.5936
Pd  0.6466  0.2214  0.9107
Pd  0.2214  0.6466  0.9107
Pd  0.2214  0.2214  0.9107
Pd  0.3534  0.7786  0.0893
Pd  0.7786  0.3534  0.0893
Pd  0.7786  0.7786  0.0893
Pt  0.5738  0.5738  0.2786
Pt  0.4262  0.4262  0.7214

Density of states at the Fermi level, states/eV/f.u.: 4.93
Space group: R-3m (166)
ΔH_f (0 K), meV per atom: -593.6


# 2
## Pr2Al3PdPt4 (PBE-GGA)

Data for a relaxed Pr2Al3PdPt4 crystal.

a b c (Å): 4.1207 4.1207 11.4126
angles (deg): 90.00 90.00 90.00
Sites, in units of the cell vectors:
Pr  0.5000  0.0000  0.2581
Pr  0.0000  0.5000  0.7419
Al  0.0000  0.0000  0.5000
Al  0.5000  0.0000  0.8741
Al  0.0000  0.5000  0.1259
Pd  0.5000  0.5000  0.5000
Pt  0.5000  0.5000  0.0000
Pt  0.0000  0.0000  0.0000
Pt  0.5000  0.0000  0.6564
Pt  0.0000  0.5000  0.3436

Density of states at the Fermi level, states/eV/f.u.: 5.50
Space group: P-4m2 (115)
ΔH_f (0 K), meV per atom: -1020.1